Crystalline SrTbCu2Si2 at its relaxed geometry, computed with PBE-GGA.

Cell: 4.130 4.130 8.475 Å, 90.00 90.00 120.00°
Atoms (fractional coordinates):
Sr 0.000 0.000 0.000
Cu 0.333 0.667 0.727
Cu 0.667 0.333 0.273
Si 0.333 0.667 0.273
Si 0.667 0.333 0.727
Tb 0.000 0.000 0.500

Properties
As for the crystal system: trigonal.

---

Crystalline SrThCu2Si2 at its relaxed geometry, computed with PBE-GGA.

Cell: 4.242 4.242 8.306 Å, 90.00 90.00 120.00°
Atoms (fractional coordinates):
Sr 0.000 0.000 0.000
Si 0.667 0.333 0.725
Si 0.333 0.667 0.275
Th 0.000 0.000 0.500
Cu 0.333 0.667 0.731
Cu 0.667 0.333 0.269

Properties
As for the crystal system: trigonal.

---

Crystalline SrVCu2Si at its relaxed geometry, computed with PBE-GGA.

Cell: 4.680 5.684 4.680 Å, 90.00 90.00 90.00°
Atoms (fractional coordinates):
Cu 0.000 0.000 0.500
Cu 0.500 0.000 0.000
V 0.000 0.000 0.000
Sr 0.000 0.500 0.000
Si 0.500 0.500 0.500

Properties
As for the crystal system: tetragonal.

---

Number 1: size of the total moment 0.00 μB/atom, total energy -4.74 eV per atom. Number 2: size of the total moment 0.00 μB/atom, total energy -5.22 eV per atom. Number 3: size of the total moment 0.58 μB/atom, total energy -3.66 eV per atom.